Entry 1:
Ce2Y2O7 (GGA-PBE, relaxed); SG = No. 115; calculated volume = 161 Å³ per cell; E above lowest polymorph = 27 meV/atom; formation energy (no corrections) = -3.4080 eV/atom
1.0
3.8528 0.0000 0.0000
0.0000 3.8528 0.0000
0.0000 0.0000 10.8778
Y O Ce
2 7 2
direct
0.5000 0.0000 0.8599 Y
0.0000 0.5000 0.1401 Y
0.5000 0.5000 0.2595 O
0.0000 0.0000 0.5000 O
0.5000 0.5000 0.7405 O
0.0000 0.0000 0.7670 O
0.5000 0.5000 0.0000 O
0.5000 0.5000 0.5000 O
0.0000 0.0000 0.2330 O
0.5000 0.0000 0.3741 Ce
0.0000 0.5000 0.6259 Ce



Entry 2:
CeY2O (GGA-PBE, relaxed); SG = No. 166; calculated volume = 94 Å³ per cell; E above lowest polymorph = 0 meV/atom; formation energy (no corrections) = -1.1900 eV/atom
1.0
3.4024 0.0000 0.0000
1.7012 2.9465 0.0000
1.7012 0.9822 9.3440
O Ce Y
1 1 2
direct
0.5000 0.5000 0.5000 O
0.0000 0.0000 0.0000 Ce
0.1177 0.1177 0.6470 Y
0.8823 0.8823 0.3530 Y



Entry 3:
Ce5Y2O13 (GGA-PBE, relaxed); SG = No. 160; calculated volume = 283 Å³ per cell; formation energy (no corrections) = -3.4419 eV/atom
1.0
-0.5167 1.4714 -3.4959
0.2615 -2.2538 -3.0831
-21.9204 -4.6706 -0.8217
Ce O Y
5 13 2
direct
0.8578 0.8578 0.4266 Ce
0.1435 0.1435 0.5695 Ce
0.4292 0.4292 0.7124 Ce
0.5721 0.5721 0.2837 Ce
0.7151 0.7151 0.8548 Ce
0.0359 0.0359 0.8922 O
0.4640 0.4640 0.6080 O
0.6070 0.6070 0.1790 O
0.6735 0.6735 0.9796 O
0.2497 0.2497 0.2508 O
0.3928 0.3928 0.8216 O
0.1069 0.1069 0.6793 O
0.8927 0.8927 0.3220 O
0.1783 0.1783 0.4651 O
0.7496 0.7496 0.7512 O
0.9691 0.9691 0.0927 O
0.5355 0.5355 0.3934 O
0.8212 0.8212 0.5363 O
0.0009 0.0009 0.9973 Y
0.2838 0.2838 0.1487 Y



> Which of these has the highest calculated volume?

Ce5Y2O13



> Which formula does entry 1 have?

Ce2Y2O7



> Which of these has the lowest formation energy (no corrections)?

Ce5Y2O13



> Which of these has the highest formation energy (no corrections)?

CeY2O